No. 1
Density functional theory data (GGA+U) for crystalline CdMoO3 at its relaxed geometry.

Lattice parameters (Å, degrees): 4.0854 4.0854 4.0854 90.00 90.00 90.00
Fractional positions:
O (0.0000, 0.0000, 0.5000)
Cd (0.0000, 0.0000, 0.0000)
O (0.0000, 0.5000, 0.0000)
O (0.5000, 0.0000, 0.0000)
Mo (0.5000, 0.5000, 0.5000)

Calculated total energy   -4.374 eV/atom


No. 2
Density functional theory data (GGA+U) for crystalline Cd2MoO5 at its relaxed geometry.

Lattice parameters (Å, degrees): 5.3582 8.1500 6.3479 63.20 65.04 70.81
Fractional positions:
O (0.1048, 0.5317, 0.5660)
O (0.2743, 0.1485, 0.6292)
O (0.3217, 0.7995, 0.1227)
Cd (0.2925, 0.0706, 0.3416)
O (0.5757, 0.7477, 0.5040)
Cd (0.2952, 0.5706, 0.8416)
O (0.1726, 0.2477, 0.0040)
Cd (0.5847, 0.5048, 0.3030)
Mo (0.9679, 0.3101, 0.7889)
O (0.9455, 0.9054, 0.5105)
Mo (0.9331, 0.8101, 0.2889)
O (0.7976, 0.0317, 0.0660)
Cd (0.6074, 0.0048, 0.8030)
O (0.9479, 0.6485, 0.1292)
O (0.7561, 0.2995, 0.6227)
O (0.6386, 0.4054, 0.0105)

Calculated total energy   -5.510 eV/atom